(1)
# Pm2Sn3GePd4 | Alexandria | PBE-GGA | relaxed
# Total magnetization ... 0.00 μB per formula unit
# E_form ... -72 kJ/mol of atoms
data_Pm2Sn3GePd4
_space_group_name_H-M_alt 'P -4 m 2'
_space_group_IT_number 115
_space_group_name_Hall 'P -4 -2'
_cell_length_a 4.5289
_cell_length_b 4.5289
_cell_length_c 10.6174
_cell_angle_alpha 90.00
_cell_angle_beta 90.00
_cell_angle_gamma 90.00
loop_
_atom_site_label
_atom_site_type_symbol
_atom_site_fract_x
_atom_site_fract_y
_atom_site_fract_z
Pm1 Pm 0.0000 0.5000 0.2471
Sn1 Sn 0.0000 0.0000 0.0000
Sn2 Sn 0.0000 0.5000 0.6317
Ge1 Ge 0.5000 0.5000 0.0000
Pd1 Pd 0.0000 0.0000 0.5000
Pd2 Pd 0.0000 0.5000 0.8762
Pd3 Pd 0.5000 0.5000 0.5000

***

(2)
# RbPaIO6 | Alexandria | PBE-GGA | relaxed
# Total magnetization ... 0.90 μB per formula unit
# E_form (uncorrected) ... -1745 meV/atom
data_RbPaIO6
_space_group_name_H-M_alt 'P -3 1 c'
_space_group_IT_number 163
_space_group_name_Hall '-P 3 2c'
_cell_length_a 5.7705
_cell_length_b 5.7705
_cell_length_c 12.3833
_cell_angle_alpha 90.00
_cell_angle_beta 90.00
_cell_angle_gamma 120.00
loop_
_atom_site_label
_atom_site_type_symbol
_atom_site_fract_x
_atom_site_fract_y
_atom_site_fract_z
Rb1 Rb 0.0000 0.0000 0.0000
Pa1 Pa 0.3333 0.6667 0.2500
I1 I 0.3333 0.6667 0.7500
O1 O 0.0255 0.3988 0.6596

***

(3)
# TcSb2OsI | Alexandria | PBE-GGA | relaxed
# Total magnetization ... 2.17 μB per formula unit
# Energy above the most stable polymorph in this dataset ... 0.217 eV per atom
# E_form (uncorrected) ... 1588 meV/atom
data_TcSb2OsI
_space_group_name_H-M_alt 'P 4/m m m'
_space_group_IT_number 123
_space_group_name_Hall '-P 4 2'
_cell_length_a 5.0806
_cell_length_b 5.0806
_cell_length_c 5.3987
_cell_angle_alpha 90.00
_cell_angle_beta 90.00
_cell_angle_gamma 90.00
loop_
_atom_site_label
_atom_site_type_symbol
_atom_site_fract_x
_atom_site_fract_y
_atom_site_fract_z
Tc1 Tc 0.0000 0.0000 0.0000
Sb1 Sb 0.0000 0.5000 0.0000
Os1 Os 0.5000 0.5000 0.5000
I1 I 0.0000 0.0000 0.5000

***

(4)
# Pu8AgRh5 | Alexandria | PBE-GGA | relaxed
# Total magnetization ... 42.49 μB per formula unit
# E_form ... -27 kJ/mol of atoms
data_Pu8AgRh5
_space_group_name_H-M_alt 'I -4'
_space_group_IT_number 82
_space_group_name_Hall 'I -4'
_cell_length_a 8.6231
_cell_length_b 8.6231
_cell_length_c 8.5066
_cell_angle_alpha 90.00
_cell_angle_beta 90.00
_cell_angle_gamma 90.00
loop_
_atom_site_label
_atom_site_type_symbol
_atom_site_fract_x
_atom_site_fract_y
_atom_site_fract_z
Pu1 Pu 0.0711 0.3361 0.4420
Pu2 Pu 0.0749 0.1860 0.8143
Ag1 Ag 0.0000 0.0000 0.5000
Rh1 Rh 0.0000 0.5000 0.7500
Rh2 Rh 0.1324 0.2450 0.1347

***

(5)
# Tb12TlCo6 | Alexandria | PBE-GGA | relaxed
# Total magnetization ... 0.00 μB per formula unit
# E_form ... -22 kJ/mol of atoms
data_Tb12TlCo6
_space_group_name_H-M_alt 'I m -3'
_space_group_IT_number 204
_space_group_name_Hall '-I 2 2 3'
_cell_length_a 9.7047
_cell_length_b 9.7047
_cell_length_c 9.7047
_cell_angle_alpha 90.00
_cell_angle_beta 90.00
_cell_angle_gamma 90.00
loop_
_atom_site_label
_atom_site_type_symbol
_atom_site_fract_x
_atom_site_fract_y
_atom_site_fract_z
Tb1 Tb 0.0000 0.1939 0.3036
Tl1 Tl 0.0000 0.0000 0.0000
Co1 Co 0.0000 0.3873 0.5000

***

(6)
# AcTeC | Alexandria | PBE-GGA | relaxed
# Total magnetization ... 0.00 μB per formula unit
# E_form (uncorrected) ... -113 meV/atom
data_AcTeC
_space_group_name_H-M_alt 'P 1 21/m 1'
_space_group_IT_number 11
_space_group_name_Hall '-P 2yb'
_cell_length_a 4.1021
_cell_length_b 4.1439
_cell_length_c 9.7225
_cell_angle_alpha 90.00
_cell_angle_beta 90.08
_cell_angle_gamma 90.00
loop_
_atom_site_label
_atom_site_type_symbol
_atom_site_fract_x
_atom_site_fract_y
_atom_site_fract_z
Ac1 Ac 0.2495 0.2500 0.3548
Te1 Te 0.2512 0.2500 0.8413
C1 C 0.2504 0.2500 0.6197